Computed, not measured: an optimized crystal structure of ZrHgAs2 at the PBE level of DFT.

a b c (Å): 3.6550 3.6541 7.3638
angles (deg): 60.27 90.00 90.00
Positions (direct):
As1 0.0000 0.0494 0.9508
As2 0.0000 0.4506 0.5492
Hg1 0.5000 0.2500 0.2500
Zr1 0.5000 0.7500 0.7500

Values from the calculation:
ΔH_f (0 K) ... -0.450 eV per atom
Calculated volume ... 85.4 Å³/f.u.